This record from Alexandria via LeMat-Bulk describes an optimized crystal structure of ThZn3Cu2. The functional is PBE.

Calculated values
Its density of states at the Fermi level is 5.27 states/eV/cell. The volume comes out at 102.6 Å³/f.u. The calculation puts the formation energy at -0.19 eV/atom. As for the total magnetization: 0.000 μB/atom.

extended XYZ file:
```
12
Lattice="4.761 -4.159 0.000 4.761 4.159 0.000 0.000 0.000 5.180" Properties=species:S:1:pos:R:3 pbc="T T T"
Th 4.761 2.776 3.885
Th 4.761 -2.776 1.295
Zn 3.088 2.286 1.295
Zn 6.434 2.286 1.295
Zn 4.761 0.411 1.295
Zn 4.761 -0.411 3.885
Zn 3.088 -2.286 3.885
Zn 6.434 -2.286 3.885
Cu 2.610 0.000 0.000
Cu 2.610 0.000 2.590
Cu 6.912 0.000 0.000
Cu 6.912 0.000 2.590
```